ZnCrN2O: relaxed, PBE+U.

Calculated values
Energy (eV/cell): -22.7

The structure in CIF format:
```
data_ZnCrN2O
_chemical_formula_sum 'Zn1 Cr1 N2 O1'
_cell_length_a 3.873
_cell_length_b 3.873
_cell_length_c 3.772
_cell_angle_alpha 90.00
_cell_angle_beta 90.00
_cell_angle_gamma 90.00
_symmetry_space_group_name_H-M 'P 4/m m m'
_symmetry_Int_Tables_number 123
_symmetry_space_group_name_Hall '-P 4 2'
loop_
_atom_site_label
_atom_site_type_symbol
_atom_site_fract_x
_atom_site_fract_y
_atom_site_fract_z
Zn1 Zn 0.000 0.000 0.000
Cr1 Cr 0.500 0.500 0.500
N1 N 0.000 0.500 0.000
O1 O 0.000 0.000 0.500
```